5
Lattice="4.7283 0.0000 0.0000 0.0000 4.7283 0.0000 0.0000 0.0000 4.7283" Properties=species:S:1:pos:R:3 comment="CuSn3N PBE-GGA relaxed" sg="Pm-3m (221)" vol_a3_per_atom=21.14 formation_energy_uncorrected_ev_per_atom=0.65 mass_density_g_cm3=6.81 relative_energy_ev_per_fu=0.000 pbc="T T T"
Cu 0.0000 0.0000 0.0000
Sn 0.0000 2.3642 2.3642
Sn 2.3642 0.0000 2.3642
Sn 2.3642 2.3642 0.0000
N 2.3642 2.3642 2.3642

***

4
Lattice="1.5548 0.8977 6.1792 -1.5548 0.8977 6.1792 0.0000 -1.7954 6.1792" Properties=species:S:1:pos:R:3 comment="CuSnN2 PBE-GGA relaxed" sg="R-3m (166)" vol_a3_per_atom=12.94 formation_energy_uncorrected_ev_per_atom=0.99 mass_density_g_cm3=6.75 pbc="T T T"
Cu 0.0000 0.0000 0.0000
Sn 0.0000 0.0000 9.2687
N 0.0000 0.0000 7.1067
N 0.0000 0.0000 11.4308

***

5
Lattice="5.3859 0.0000 0.0000 0.0000 5.3859 0.0000 0.0000 0.0000 4.2337" Properties=species:S:1:pos:R:3 comment="SrCu2SnN PBE-GGA relaxed" sg="P4/mmm (123)" vol_a3_per_atom=24.56 formation_energy_uncorrected_ev_per_atom=1.35 mass_density_g_cm3=4.70 pbc="T T T"
Sr 0.0000 0.0000 0.0000
Cu 0.0000 2.6929 0.0000
Cu 2.6929 0.0000 0.0000
Sn 2.6929 2.6929 2.1168
N 0.0000 0.0000 2.1168

***

5
Lattice="5.8461 0.0000 0.0000 0.0000 5.8461 0.0000 0.0000 0.0000 3.9713" Properties=species:S:1:pos:R:3 comment="CuSn2TeN PBE-GGA relaxed" sg="P4/mmm (123)" vol_a3_per_atom=27.14 formation_energy_uncorrected_ev_per_atom=1.18 mass_density_g_cm3=5.41 pbc="T T T"
Cu 0.0000 0.0000 0.0000
Sn 0.0000 2.9230 1.9856
Sn 2.9230 0.0000 1.9856
Te 2.9230 2.9230 1.9856
N 2.9230 2.9230 0.0000

***

5
Lattice="5.6076 0.0000 0.0000 0.0000 5.6076 0.0000 0.0000 0.0000 3.6049" Properties=species:S:1:pos:R:3 comment="CuSnTe2N PBE-GGA relaxed" sg="P4/mmm (123)" vol_a3_per_atom=22.67 formation_energy_uncorrected_ev_per_atom=0.61 mass_density_g_cm3=6.61 relative_energy_ev_per_fu=0.000 pbc="T T T"
Cu 0.0000 0.0000 0.0000
Sn 2.8038 2.8038 1.8025
Te 0.0000 2.8038 0.0000
Te 2.8038 0.0000 0.0000
N 0.0000 0.0000 1.8025

***

5
Lattice="5.8894 0.0000 0.0000 0.0000 5.8894 0.0000 0.0000 0.0000 3.8446" Properties=species:S:1:pos:R:3 comment="CuSnTe2N PBE-GGA relaxed" sg="P4/mmm (123)" vol_a3_per_atom=26.67 formation_energy_uncorrected_ev_per_atom=1.05 mass_density_g_cm3=5.62 relative_energy_ev_per_fu=2.239 pbc="T T T"
Cu 0.0000 0.0000 0.0000
Sn 2.9447 2.9447 1.9223
Te 0.0000 2.9447 1.9223
Te 2.9447 0.0000 1.9223
N 2.9447 2.9447 0.0000

***

4
Lattice="-1.6813 1.6813 6.8016 1.6813 -1.6813 6.8016 1.6813 1.6813 -6.8016" Properties=species:S:1:pos:R:3 comment="ThCuSnN PBE-GGA relaxed" sg="I4mm (107)" vol_a3_per_atom=19.23 formation_energy_uncorrected_ev_per_atom=-0.61 mass_density_g_cm3=9.25 pbc="T T T"
Th 0.0000 0.0000 0.0000
Cu 0.0000 0.0000 9.3154
Sn 0.0000 0.0000 3.9462
N 0.0000 0.0000 7.3534

***

5
Lattice="4.8934 0.0000 0.0000 0.0000 4.8934 0.0000 0.0000 0.0000 4.0504" Properties=species:S:1:pos:R:3 comment="Y2CuSnN PBE-GGA relaxed" sg="P4/mmm (123)" vol_a3_per_atom=19.40 formation_energy_uncorrected_ev_per_atom=-0.78 mass_density_g_cm3=6.40 pbc="T T T"
Y 0.0000 2.4467 0.0000
Y 2.4467 0.0000 0.0000
Cu 0.0000 0.0000 2.0252
Sn 2.4467 2.4467 2.0252
N 0.0000 0.0000 0.0000

***

5
Lattice="-1.9636 1.9636 4.3981 1.9636 -1.9636 4.3981 1.9636 1.9636 -4.3981" Properties=species:S:1:pos:R:3 comment="SrCu2N2 PBE-GGA relaxed" sg="I4/mmm (139)" vol_a3_per_atom=13.57 formation_energy_uncorrected_ev_per_atom=0.25 mass_density_g_cm3=5.94 relative_energy_ev_per_fu=0.000 pbc="T T T"
Sr 0.0000 0.0000 0.0000
Cu 0.0000 0.0000 2.7583
Cu 0.0000 0.0000 6.0380
N 1.9636 0.0000 2.1991
N 0.0000 1.9636 2.1991

***

11
Lattice="7.4610 -4.4695 0.0000 7.4610 4.4695 0.0000 -0.3494 0.0000 7.0896" Properties=species:S:1:pos:R:3 comment="Sr8CuN2 PBE-GGA relaxed" sg="C2/m (12)" vol_a3_per_atom=42.99 formation_energy_uncorrected_ev_per_atom=-0.23 mass_density_g_cm3=2.78 pbc="T T T"
Sr 5.6973 2.5241 5.3265
Sr 2.1728 0.0000 5.6778
Sr 8.8753 2.5241 1.7631
Sr 4.7657 0.0000 1.8036
Sr 9.8068 0.0000 5.2861
Sr 5.6973 -2.5241 5.3265
Sr 12.3998 0.0000 1.4119
Sr 8.8753 -2.5241 1.7631
Cu -0.1747 0.0000 3.5448
N 2.5601 0.0000 0.9730
N 12.0125 0.0000 6.1167

***

5
Lattice="-1.9116 1.9116 6.3579 1.9116 -1.9116 6.3579 1.9116 1.9116 -6.3579" Properties=species:S:1:pos:R:3 comment="Sr2CuN2 PBE-GGA relaxed" sg="I4/mmm (139)" vol_a3_per_atom=18.59 formation_energy_uncorrected_ev_per_atom=-0.44 mass_density_g_cm3=4.77 pbc="T T T"
Sr 0.0000 0.0000 1.9374
Sr 0.0000 0.0000 10.7783
Cu 0.0000 0.0000 6.3579
N 0.0000 0.0000 4.5445
N 0.0000 0.0000 8.1713

***

12
Lattice="6.2637 -2.9555 0.0000 6.2637 2.9555 0.0000 -2.3133 0.0000 7.2241" Properties=species:S:1:pos:R:3 comment="Sr3CuN2 PBE-GGA relaxed" sg="C2/c (15)" vol_a3_per_atom=22.29 formation_energy_uncorrected_ev_per_atom=-0.41 mass_density_g_cm3=4.40 pbc="T T T"
Sr 4.5288 2.8357 5.4181
Sr 3.3219 0.1947 1.1158
Sr 2.1653 -0.1947 4.7279
Sr 8.0489 0.1947 2.4963
Sr 6.8923 -0.1947 6.1083
Sr 5.6854 -2.8357 1.8060
Cu 6.2637 0.0000 0.0000
Cu 5.1071 0.0000 3.6121
N 2.6980 1.3813 6.8099
N 6.3596 1.3813 4.0263
N 3.8547 -1.3813 3.1979
N 7.5162 -1.3813 0.4142